No. 1
A relaxed structure of Pa3ReN6, computed with PBE-GGA.

```
Pa3ReN6
1.0
-1.216 4.961 1.834
-3.983 -2.918 5.252
6.346 0.296 3.408
N Pa Re
12 6 2
Direct
0.225 0.105 0.603
0.243 0.360 0.335
0.225 0.397 0.895
0.243 0.665 0.640
0.743 0.335 0.360
0.707 0.221 0.779
0.207 0.779 0.221
0.743 0.640 0.665
0.725 0.603 0.105
0.725 0.895 0.397
0.814 0.987 0.013
0.314 0.013 0.987
0.018 0.093 0.323
0.518 0.907 0.677
0.018 0.677 0.907
0.518 0.323 0.093
0.467 0.388 0.612
0.967 0.612 0.388
0.026 0.132 0.868
0.526 0.868 0.132
```

Summary:
Final energy   -10.39 eV/atom
Total moment   0.000 μB/f.u.



No. 2
A relaxed structure of Pa2ReN, computed with PBE-GGA.

```
Pa2ReN
1.0
-1.261 -3.053 4.153
-3.182 -4.195 -0.660
1.046 -4.242 0.589
Re Pa N
1 2 1
Direct
0.500 0.500 0.500
0.226 0.226 0.321
0.774 0.774 0.679
0.000 0.000 0.000
```

Summary:
Total moment   0.000 μB/f.u.
Distance to the lowest polymorph of the same formula   0.119 eV per atom



No. 3
A relaxed structure of Pa2ReRhN6, computed with PBE-GGA.

```
Pa2ReRhN6
1.0
5.559 0.000 0.000
2.780 4.814 0.000
2.780 1.605 4.748
N Rh Re Pa
6 1 1 2
Direct
0.970 0.585 0.257
0.108 0.444 0.765
0.683 0.108 0.765
0.585 0.188 0.257
0.188 0.970 0.257
0.444 0.683 0.765
0.817 0.817 0.549
0.311 0.311 0.068
0.526 0.526 0.423
0.030 0.031 0.908
```

Summary:
Final energy   -9.62 eV/atom
Total moment   0.000 μB/f.u.



No. 4
A relaxed structure of Sm2PaReN5, computed with PBE-GGA.

```
Sm2PaReN5
1.0
6.625 0.000 0.000
0.000 6.625 0.000
-3.313 -3.313 5.723
Re Pa N Sm
2 2 10 4
Direct
0.750 0.250 0.500
0.250 0.750 0.500
0.250 0.250 0.500
0.750 0.750 0.500
0.000 0.000 0.000
0.992 0.492 0.293
0.699 0.199 0.707
0.500 0.500 0.000
0.199 0.008 0.707
0.492 0.301 0.293
0.301 0.801 0.293
0.008 0.508 0.707
0.801 0.992 0.293
0.508 0.699 0.707
0.831 0.669 0.000
0.669 0.169 0.000
0.331 0.831 0.000
0.169 0.331 0.000
```

Summary:
Final energy   -9.05 eV/atom
Total moment   1.190 μB/f.u.